Entry 1:
{"formula": "MgMn2Cl", "functional": "PBE", "state": "optimized geometry", "lattice_angstrom": [[3.109, 0.000, 0.000], [0.000, 4.546, 0.000], [0.000, 0.000, 5.146]], "species": ["Cl", "Mg", "Mn", "Mn"], "frac_coords": [[0.500, 0.000, 0.500], [0.000, 0.500, 0.500], [0.000, 0.000, 0.000], [0.500, 0.500, 0.000]], "formation_energy_uncorrected_kj_per_mol_fu": 97.4, "de_polymorph_mev_per_atom": 376, "spacegroup": "Pmmm"}

---

Entry 2:
{"formula": "NpUTc2", "functional": "PBE", "state": "optimized geometry", "lattice_angstrom": [[-0.465, -3.033, 0.083], [0.019, -1.627, -2.603], [8.650, -2.877, 0.052]], "species": ["Np", "U", "Tc", "Tc"], "frac_coords": [[0.500, 0.500, 0.500], [0.000, 0.000, 0.000], [0.752, 0.752, 0.745], [0.248, 0.248, 0.255]], "de_polymorph_mev_per_atom": 297, "spacegroup": "R-3m", "formation_enthalpy_0k_ev_per_atom": 0.327}

---

Entry 3:
{"formula": "HfThZr3", "functional": "PBE", "state": "optimized geometry", "lattice_angstrom": [[3.137, 0.000, 0.000], [-1.569, 7.850, 1.979], [0.000, 0.435, 10.357]], "species": ["Hf", "Hf", "Th", "Th", "Zr", "Zr", "Zr", "Zr", "Zr", "Zr"], "frac_coords": [[0.104, 0.208, 0.954], [0.896, 0.792, 0.046], [0.397, 0.794, 0.556], [0.603, 0.206, 0.444], [0.994, 0.988, 0.752], [0.006, 0.012, 0.248], [0.699, 0.399, 0.131], [0.301, 0.601, 0.869], [0.807, 0.615, 0.358], [0.193, 0.385, 0.642]], "de_polymorph_mev_per_atom": 169, "spacegroup": "C2/m", "formation_enthalpy_0k_ev_per_atom": 0.252}

---

Entry 4:
{"formula": "Tm2NiBr", "functional": "PBE", "state": "optimized geometry", "lattice_angstrom": [[3.891, 0.000, 0.000], [1.946, 3.370, 0.000], [1.946, 1.123, 7.530]], "species": ["Tm", "Tm", "Ni", "Br"], "frac_coords": [[0.062, 0.062, 0.813], [0.273, 0.273, 0.182], [0.667, 0.667, 0.998], [0.498, 0.498, 0.507]], "formation_energy_uncorrected_kj_per_mol_fu": -305.1, "de_polymorph_mev_per_atom": 22, "spacegroup": "R3m"}

---

Values of N(E_F), in order: 2.44, 6.30, 12.68, 3.07, all in states/eV per cell.